A geometry-optimized Tm2Zn16Ag structure, computed with PBE.

The total DFT energy (no corrections) is -0.0700 Ha/atom. The density of states at the Fermi level comes out at 4.9 states/eV/f.u. For the spin magnetization, the calculation gives 0.0 μB/f.u.

The space group is R3m (No. 160, hexagonal axes) and the conventional cell measures 8.9617, 8.9617 and 13.1697 Å, with angles of 90.00, 90.00 and 120.00 degrees. Symmetry generates all atoms from Tm at (0.0000, 0.0000, 0.0000), Tm at (0.0000, 0.0000, 0.3258), Zn at (0.0000, 0.0000, 0.7700), Zn at (0.9998, 0.2989, 0.6626), Zn at (0.0098, 0.5049, 0.8143), Zn at (0.1680, 0.3360, 0.4961), Zn at (0.1729, 0.3458, 0.8444) and Ag at (0.0000, 0.0000, 0.5639).

---

A geometry-optimized PaCoSi2Tc2 structure, computed with PBE.

The total DFT energy (no corrections) is -0.2986 Ha/atom. The density of states at the Fermi level comes out at 5.1 states/eV/f.u. For the spin magnetization, the calculation gives 0.0 μB/f.u. The calculation puts the formation energy (no corrections) at -94 meV/atom.

The space group is P4/mmm (No. 123) and the conventional cell measures 4.427, 4.427 and 5.061 Å, with angles of 90.00, 90.00 and 90.00 degrees. Symmetry generates all atoms from Pa at (0.000, 0.000, 0.000), Co at (0.000, 0.000, 0.500), Si at (0.000, 0.500, 0.500) and Tc at (0.500, 0.500, 0.236).

---

A geometry-optimized PmCoNi2H8 structure, computed with PBE.

The total DFT energy (no corrections) is -0.1612 Ha/atom. The density of states at the Fermi level comes out at 4.7 states/eV/f.u. For the spin magnetization, the calculation gives 0.0 μB/f.u.

The space group is R-3 (No. 148, hexagonal axes) and the conventional cell measures 4.4076, 4.4076 and 15.9407 Å, with angles of 90.00, 90.00 and 120.00 degrees. Symmetry generates all atoms from Pm at (0.0000, 0.0000, 0.0000), Co at (0.0000, 0.0000, 0.5000), Ni at (0.0000, 0.0000, 0.2074), H at (0.0000, 0.0000, 0.3072) and H at (0.0046, 0.6293, 0.7850).

---

A geometry-optimized Ho3Hg3Pb2 structure, computed with PBE.

The total DFT energy (no corrections) is -0.1124 Ha/atom. The density of states at the Fermi level comes out at 5.0 states/eV/f.u. For the spin magnetization, the calculation gives 0.0 μB/f.u.

The space group is R32 (No. 155, hexagonal axes) and the conventional cell measures 8.5099, 8.5099 and 10.5635 Å, with angles of 90.00, 90.00 and 120.00 degrees. Symmetry generates all atoms from Ho at (0.0000, 0.6618, 0.0000), Hg at (0.0000, 0.2721, 0.5000) and Pb at (0.0000, 0.0000, 0.1635).

---

A geometry-optimized CoTc structure, computed with PBE.

The total DFT energy (no corrections) is -0.3155 Ha/atom. The density of states at the Fermi level comes out at 2.3 states/eV/f.u. For the spin magnetization, the calculation gives 1.0 μB/f.u.

The space group is R-3m (No. 166, hexagonal axes) and the conventional cell measures 2.6307, 2.6307 and 12.7894 Å, with angles of 90.00, 90.00 and 120.00 degrees. Symmetry generates all atoms from Co at (0.0000, 0.0000, 0.0000) and Tc at (0.0000, 0.0000, 0.5000).

---

A geometry-optimized TaAsOs2 structure, computed with PBE.

The total DFT energy (no corrections) is -0.3512 Ha/atom. The density of states at the Fermi level comes out at 2.6 states/eV/f.u. For the spin magnetization, the calculation gives 0.0 μB/f.u.

The space group is Cmmm (No. 65) and the conventional cell measures 5.904, 6.868 and 3.093 Å, with angles of 90.00, 90.00 and 90.00 degrees. Symmetry generates all atoms from Ta at (0.000, 0.000, 0.000), As at (0.000, 0.500, 0.000) and Os at (0.250, 0.250, 0.500).

---

A geometry-optimized LiEu6 structure, computed with PBE.

The total DFT energy (no corrections) is -0.2948 Ha/atom. The density of states at the Fermi level comes out at 10.4 states/eV/f.u. For the spin magnetization, the calculation gives 48.6 μB/f.u.

The space group is Im-3m (No. 229) and the conventional cell measures 9.500, 9.500 and 9.500 Å, with angles of 90.00, 90.00 and 90.00 degrees. Symmetry generates all atoms from Li at (0.000, 0.000, 0.000) and Eu at (0.000, 0.250, 0.500).

---

A geometry-optimized CuTc3Ge structure, computed with PBE.

The total DFT energy (no corrections) is -0.2363 Ha/atom. The density of states at the Fermi level comes out at 7.2 states/eV/f.u. For the spin magnetization, the calculation gives 0.0 μB/f.u.

The space group is Pm-3m (No. 221) and the conventional cell measures 4.517, 4.517 and 4.517 Å, with angles of 90.00, 90.00 and 90.00 degrees. Symmetry generates all atoms from Cu at (0.000, 0.000, 0.000), Tc at (0.000, 0.500, 0.500) and Ge at (0.500, 0.500, 0.500).

---

A geometry-optimized Ac3MgNi structure, computed with PBE.

The total DFT energy (no corrections) is -0.1460 Ha/atom. The density of states at the Fermi level comes out at 7.6 states/eV/f.u. For the spin magnetization, the calculation gives 0.0 μB/f.u.

The space group is Pm-3m (No. 221) and the conventional cell measures 5.718, 5.718 and 5.718 Å, with angles of 90.00, 90.00 and 90.00 degrees. Symmetry generates all atoms from Ac at (0.000, 0.000, 0.500), Mg at (0.500, 0.500, 0.500) and Ni at (0.000, 0.000, 0.000).

---

A geometry-optimized SnTeIr structure, computed with PBE.

The total DFT energy (no corrections) is -0.1964 Ha/atom. The density of states at the Fermi level comes out at 1.8 states/eV/f.u. For the spin magnetization, the calculation gives 0.0 μB/f.u. The calculation puts the formation energy (no corrections) at -9 meV/atom.

The space group is P1 (No. 1) and the conventional cell measures 3.205, 4.099 and 6.002 Å, with angles of 102.30, 90.20 and 112.86 degrees. Symmetry generates all atoms from Sn at (0.000, 0.000, 0.000), Te at (0.304, 0.618, 0.466) and Ir at (0.658, 0.320, 0.731).

---

A geometry-optimized CrAsRh2 structure, computed with PBE.

The total DFT energy (no corrections) is -0.2649 Ha/atom. The density of states at the Fermi level comes out at 2.8 states/eV/f.u. For the spin magnetization, the calculation gives 0.7 μB/f.u.

The space group is R3m (No. 160, hexagonal axes) and the conventional cell measures 2.8163, 2.8163 and 24.5102 Å, with angles of 90.00, 90.00 and 120.00 degrees. Symmetry generates all atoms from Cr at (0.0000, 0.0000, 0.0000), As at (0.0000, 0.0000, 0.2534), Rh at (0.0000, 0.0000, 0.5080) and Rh at (0.0000, 0.0000, 0.7460).

---

A geometry-optimized CaMnTe2 structure, computed with PBE.

The total DFT energy (no corrections) is -0.1841 Ha/atom. The density of states at the Fermi level comes out at 0.4 states/eV/f.u. For the spin magnetization, the calculation gives 5.0 μB/f.u. The calculation puts the formation energy (no corrections) at -647 meV/atom.

The space group is Imm2 (No. 44) and the conventional cell measures 3.943, 4.072 and 14.349 Å, with angles of 90.00, 90.00 and 90.00 degrees. Symmetry generates all atoms from Ca at (0.000, 0.000, 0.000), Mn at (0.000, 0.500, 0.750), Te at (0.000, 0.000, 0.402) and Te at (0.000, 0.500, 0.173).

---

A geometry-optimized ScBeZn structure, computed with PBE.

The total DFT energy (no corrections) is -0.1344 Ha/atom. The density of states at the Fermi level comes out at 2.0 states/eV/f.u. For the spin magnetization, the calculation gives 0.0 μB/f.u.

The space group is Imm2 (No. 44) and the conventional cell measures 2.873, 4.168 and 7.861 Å, with angles of 90.00, 90.00 and 90.00 degrees. Symmetry generates all atoms from Sc at (0.000, 0.000, 0.000), Be at (0.000, 0.000, 0.343) and Zn at (0.000, 0.000, 0.662).

---

A geometry-optimized CaSi3Ag structure, computed with PBE.

The total DFT energy (no corrections) is -0.1321 Ha/atom. The density of states at the Fermi level comes out at 3.9 states/eV/f.u. For the spin magnetization, the calculation gives 0.0 μB/f.u. The calculation puts the formation energy (no corrections) at 629 meV/atom.

The space group is Pm-3m (No. 221) and the conventional cell measures 4.930, 4.930 and 4.930 Å, with angles of 90.00, 90.00 and 90.00 degrees. Symmetry generates all atoms from Ca at (0.000, 0.000, 0.000), Si at (0.000, 0.500, 0.500) and Ag at (0.500, 0.500, 0.500).

---

A geometry-optimized Nd3Sm4Dy structure, computed with PBE.

The total DFT energy (no corrections) is -0.1679 Ha/atom. The density of states at the Fermi level comes out at 13.5 states/eV/f.u. For the spin magnetization, the calculation gives 0.0 μB/f.u.

The space group is C2/m (No. 12) and the conventional cell measures 23.735, 3.510 and 6.910 Å, with angles of 90.00, 106.92 and 90.00 degrees. Symmetry generates all atoms from Nd at (0.000, 0.000, 0.000), Nd at (0.125, 0.000, 0.865), Sm at (0.124, 0.000, 0.383), Sm at (0.241, 0.500, 0.738) and Dy at (0.000, 0.500, 0.500).

---

A geometry-optimized HoThSc2P4 structure, computed with PBE.

The total DFT energy (no corrections) is -0.2688 Ha/atom. The density of states at the Fermi level comes out at 1.6 states/eV/f.u. For the spin magnetization, the calculation gives 0.0 μB/f.u.

The space group is P2/m (No. 10) and the conventional cell measures 6.755, 3.938 and 6.805 Å, with angles of 90.00, 109.61 and 90.00 degrees. Symmetry generates all atoms from Ho at (0.000, 0.000, 0.000), Th at (0.000, 0.500, 0.500), Sc at (0.500, 0.000, 0.500), Sc at (0.500, 0.500, 0.000), P at (0.267, 0.500, 0.252) and P at (0.271, 0.000, 0.762).

---

A geometry-optimized K3Ba2PtO6 structure, computed with PBE.

The total DFT energy (no corrections) is -0.1867 Ha/atom. The density of states at the Fermi level comes out at 9.3 states/eV/f.u. For the spin magnetization, the calculation gives 1.1 μB/f.u. The calculation puts the formation energy (no corrections) at -1502 meV/atom.

The space group is C2/m (No. 12) and the conventional cell measures 6.424, 11.218 and 6.562 Å, with angles of 90.00, 108.85 and 90.00 degrees. Symmetry generates all atoms from K at (0.000, 0.000, 0.000), K at (0.000, 0.349, 0.000), Ba at (0.000, 0.168, 0.500), Pt at (0.000, 0.500, 0.500), O at (0.196, 0.369, 0.695) and O at (0.206, 0.500, 0.312).

---

A geometry-optimized LiMnIn2Se structure, computed with PBE.

The total DFT energy (no corrections) is -0.1346 Ha/atom. The density of states at the Fermi level comes out at 4.8 states/eV/f.u. For the spin magnetization, the calculation gives 3.7 μB/f.u. The calculation puts the formation energy (no corrections) at 347 meV/atom.

The space group is P4/mmm (No. 123) and the conventional cell measures 5.858, 5.858 and 4.575 Å, with angles of 90.00, 90.00 and 90.00 degrees. Symmetry generates all atoms from Li at (0.000, 0.000, 0.000), Mn at (0.500, 0.500, 0.000), In at (0.000, 0.500, 0.500) and Se at (0.500, 0.500, 0.500).

---

A geometry-optimized Sc2B2Ru5W structure, computed with PBE.

The total DFT energy (no corrections) is -0.3334 Ha/atom. The density of states at the Fermi level comes out at 5.3 states/eV/f.u. For the spin magnetization, the calculation gives 0.0 μB/f.u.

The space group is P4/mbm (No. 127) and the conventional cell measures 9.477, 9.477 and 3.040 Å, with angles of 90.00, 90.00 and 90.00 degrees. Symmetry generates all atoms from Sc at (0.175, 0.325, 0.000), B at (0.120, 0.620, 0.000), Ru at (0.000, 0.500, 0.500), Ru at (0.071, 0.784, 0.500) and W at (0.000, 0.000, 0.000).

---

A geometry-optimized Ge2RhAu2 structure, computed with PBE.

The total DFT energy (no corrections) is -0.1690 Ha/atom. The density of states at the Fermi level comes out at 1.9 states/eV/f.u. For the spin magnetization, the calculation gives 0.0 μB/f.u.

The space group is P4/mbm (No. 127) and the conventional cell measures 6.533, 6.533 and 4.087 Å, with angles of 90.00, 90.00 and 90.00 degrees. Symmetry generates all atoms from Ge at (0.142, 0.358, 0.000), Rh at (0.000, 0.000, 0.000) and Au at (0.167, 0.667, 0.500).